16
Lattice="-4.279 0.912 -0.505 -2.068 -7.284 4.377 0.061 3.872 6.473" Properties=species:S:1:pos:R:3 comment="VAg2BiO4 PBE+U optimized geometry" final_energy_ry_per_atom=-0.4105 dos_ef_per_ev_cell=1.0 sg="Pmn2_1, No. 31" pbc="T T T"
V -3.860 -4.282 6.993
V -4.325 0.243 -0.105
Ag -3.297 -1.880 2.761
Ag -3.258 0.578 6.870
Ag -1.432 -1.476 6.896
Ag -1.455 -2.889 4.533
Bi -4.256 1.280 3.670
Bi -3.375 -5.436 3.284
O -1.653 -0.074 0.060
O -5.602 -4.162 6.938
O -1.840 1.435 3.554
O -5.597 -5.633 3.423
O -3.242 -2.878 7.814
O -4.135 0.141 1.622
O -4.097 2.545 5.640
O -3.265 -4.347 5.359